(1)
Crystalline SrTlW at its relaxed geometry. Source: the Alexandria database, functional PBE.

* DFT formation energy: 3.1 eV/f.u.
* energy relative to the lowest polymorph listed for this composition: 151 meV per atom

abc: 5.2692 5.2692 3.0374
angles: 90.00 90.00 120.00
With the nearest neighbours (Å) after each atom.
Sites, in units of the cell vectors:
Sr (0.0000, 0.0000, 0.9996)  2 Sr 3.04, 6 Tl 3.40, 6 W 3.40
W (0.3333, 0.6667, 0.5001)  2 W 3.04, 3 Tl 3.04, 6 Sr 3.40
Tl (0.6667, 0.3333, 0.5003)  2 Tl 3.04, 3 W 3.04, 6 Sr 3.40


(2)
Crystalline CsHfSeBr2 at its relaxed geometry. Source: the Alexandria database, functional PBE.

* energy relative to the lowest polymorph listed for this composition: 2086 meV per atom
* ΔE_f (raw): 847 meV per atom

abc: 6.2896 6.2896 5.7076
angles: 90.00 90.00 90.00
With the nearest neighbours (Å) after each atom.
Sites, in units of the cell vectors:
Cs (0.0000, 0.0000, 0.0000)  2 Se 2.85, 4 Br 3.14
Br (0.5000, 0.0000, 0.0000)  2 Cs 3.14
Br (0.0000, 0.5000, 0.0000)  2 Cs 3.14
Hf (0.5000, 0.5000, 0.5000)  8 Br 4.25, 4 Se 4.45
Se (0.0000, 0.0000, 0.5000)  2 Cs 2.85


(3)
Crystalline LiScMo2 at its relaxed geometry. Source: the Alexandria database, functional PBE.

* DFT formation energy: 1.8 eV/f.u.
* energy relative to the lowest polymorph listed for this composition: 277 meV per atom

abc: 3.3393 3.3393 5.9441
angles: 90.00 90.00 90.00
With the nearest neighbours (Å) after each atom.
Sites, in units of the cell vectors:
Mo (0.0000, 0.0000, 0.5571)  1 Mo 2.29
Mo (0.0000, 0.0000, 0.9429)  1 Mo 2.29
Sc (0.5000, 0.5000, 0.2500)  2 Li 2.97, 8 Mo 2.98
Li (0.5000, 0.5000, 0.7500)  8 Mo 2.62


(4)
Crystalline CaEu3Rh at its relaxed geometry. Source: the Alexandria database, functional PBE.

* DFT formation energy: -1.1 eV/f.u.

abc: 5.6932 5.6932 5.6932
angles: 90.00 90.00 90.00
With the nearest neighbours (Å) after each atom.
Sites, in units of the cell vectors:
Rh (0.0000, 0.0000, 0.0000)  6 Eu 2.85
Eu (0.0000, 0.5000, 0.0000)  2 Rh 2.85
Eu (0.0000, 0.0000, 0.5000)  2 Rh 2.85
Eu (0.5000, 0.0000, 0.0000)  2 Rh 2.85
Ca (0.5000, 0.5000, 0.5000)  12 Eu 4.03


(5)
Crystalline InCSe3 at its relaxed geometry. Source: the Alexandria database, functional PBE.

* energy relative to the lowest polymorph listed for this composition: 1062 meV per atom
* ΔE_f (raw): 1901 meV per atom

abc: 5.2500 5.2500 5.2500
angles: 90.00 90.00 90.00
With the nearest neighbours (Å) after each atom.
Sites, in units of the cell vectors:
C (0.5000, 0.5000, 0.5000)  12 Se 3.71
Se (0.0000, 0.5000, 0.0000)  2 In 2.63
Se (0.0000, 0.0000, 0.5000)  2 In 2.63
Se (0.5000, 0.0000, 0.0000)  2 In 2.63
In (0.0000, 0.0000, 0.0000)  6 Se 2.63


(6)
Crystalline Ac2MgAsO6 at its relaxed geometry. Source: the Alexandria database, functional PBE.

* ΔE_f (raw): -2541 meV per atom

abc: 5.6974 5.6973 8.0596
angles: 90.00 90.00 90.00
With the nearest neighbours (Å) after each atom.
Sites, in units of the cell vectors:
O (0.7533, 0.5034, 0.0000)  1 As 1.99, 1 Mg 2.04
O (0.7466, 0.0031, 0.5000)  1 As 1.99, 1 Mg 2.04
O (0.7467, 0.4966, 0.5000)  1 As 1.99, 1 Mg 2.04
O (0.0000, 0.7501, 0.7533)  1 As 1.99, 1 Mg 2.04
O (0.2534, 0.0031, 0.5000)  1 As 1.99, 1 Mg 2.04
O (0.0000, 0.7501, 0.2467)  1 As 1.99, 1 Mg 2.04
O (0.5000, 0.2499, 0.2533)  1 As 1.99, 1 Mg 2.04
O (0.5000, 0.2499, 0.7467)  1 As 1.99, 1 Mg 2.04
O (0.7534, 0.9969, 0.0000)  1 As 1.99, 1 Mg 2.04
O (0.2467, 0.5034, 0.0000)  1 As 1.99, 1 Mg 2.04
O (0.2533, 0.4966, 0.5000)  1 As 1.99, 1 Mg 2.04
O (0.2466, 0.9969, 0.0000)  1 As 1.99, 1 Mg 2.04
Ac (0.0000, 0.2500, 0.7500)  12 O 2.85
Ac (0.0000, 0.2500, 0.2500)  12 O 2.85
Ac (0.5000, 0.7500, 0.7500)  12 O 2.85
Ac (0.5000, 0.7500, 0.2500)  12 O 2.85
Mg (0.0000, 0.7499, 0.5000)  6 O 2.04
Mg (0.5000, 0.2501, 0.0000)  6 O 2.04
As (0.0000, 0.7501, 0.0000)  6 O 1.99
As (0.5000, 0.2499, 0.5000)  6 O 1.99


(7)
Crystalline TbCeErLu at its relaxed geometry. Source: the Alexandria database, functional PBE.

* DFT formation energy: 0.6 eV/f.u.

abc: 5.6037 5.6037 5.6037
angles: 60.00 60.00 60.00
With the nearest neighbours (Å) after each atom.
Sites, in units of the cell vectors:
Tb (0.7500, 0.7500, 0.7500)  4 Er 3.43, 4 Lu 3.43
Lu (0.5000, 0.5000, 0.5000)  4 Tb 3.43, 4 Ce 3.43
Ce (0.2500, 0.2500, 0.2500)  4 Er 3.43, 4 Lu 3.43
Er (0.0000, 0.0000, 0.0000)  4 Ce 3.43, 4 Tb 3.43


(8)
Crystalline Co2Ge at its relaxed geometry. Source: the Alexandria database, functional PBE.

* DFT formation energy: 0.7 eV/f.u.

abc: 4.7442 4.7442 4.7442
angles: 60.00 60.00 60.00
With the nearest neighbours (Å) after each atom.
Sites, in units of the cell vectors:
Co (0.6250, 0.1250, 0.6250)  6 Co 2.37
Co (0.6250, 0.6250, 0.6250)  6 Co 2.37
Co (0.6250, 0.6250, 0.1250)  6 Co 2.37
Co (0.1250, 0.6250, 0.6250)  6 Co 2.37
Ge (0.0000, 0.0000, 0.0000)  12 Co 2.78, 4 Ge 2.91
Ge (0.2500, 0.2500, 0.2500)  12 Co 2.78, 4 Ge 2.91


no.,total moment (Bohr magnetons per cell)
1,0.0
2,0.7
3,0.0
4,21.4
5,0.0
6,0.0
7,0.7
8,3.9